Record 1
The following is a GGA-PBE calculation of a relaxed structure of TbNdBeAl, from Alexandria via LeMat-Bulk.

a b c (Å): 7.1913 7.1913 7.1913
angles (deg): 90.00 90.00 90.00
With the nearest neighbours (Å) after each atom.
Space group F-43m (No. 216)
Asymmetric unit:
Tb1 0.0000 0.0000 0.0000 (multiplicity 4)  4 Be 3.11, 4 Al 3.11
Nd1 0.0000 0.0000 0.5000 (multiplicity 4)  4 Be 3.11, 4 Al 3.11
Be1 0.2500 0.2500 0.2500 (multiplicity 4)  4 Tb 3.11, 4 Nd 3.11
Al1 0.2500 0.2500 0.7500 (multiplicity 4)  4 Tb 3.11, 4 Nd 3.11

**Total moment**: 0.0 μB/f.u.
**DFT formation energy**: -0.077 eV/atom

***

Record 2
The following is a GGA-PBE calculation of a relaxed structure of Y2AgHPd, from Alexandria via LeMat-Bulk.

a b c (Å): 5.0197 5.0197 3.7429
angles (deg): 90.00 90.00 90.00
With the nearest neighbours (Å) after each atom.
Space group P4/mmm (No. 123)
Asymmetric unit:
Y1 0.0000 0.5000 0.0000 (multiplicity 2)  2 H 2.51
Ag1 0.0000 0.0000 0.5000 (multiplicity 1)  8 Y 3.13
H1 0.5000 0.5000 0.0000 (multiplicity 1)  2 Pd 1.87
Pd1 0.5000 0.5000 0.5000 (multiplicity 1)  2 H 1.87

**Total moment**: 0.0 μB/f.u.
**Polymorph energy (0 for the lowest one)**: 0 meV per atom